[1]
This record from Alexandria describes a relaxed Dy2ThOs9 crystal. The functional is GGA-PBE.

The calculation puts the formation energy at -2.6 kcal/mol of atoms. The magnetic moment is 0.00 μB/f.u. The calculation puts the total energy at -9.92 eV/atom.

The structure belongs to space group R-3m (No. 166, hexagonal axes); the cell edges are 5.3473, 5.3473 and 26.1583 Å and the angles 90.00°, 90.00° and 120.00°. Symmetry generates all atoms from Dy at (0.0000, 0.0000, 0.1407), Th at (0.0000, 0.0000, 0.0000), Os at (0.0000, 0.0000, 0.3393), Os at (0.0000, 0.0000, 0.5000) and Os at (0.0119, 0.5059, 0.9162).

=====

[2]
This record from Alexandria describes a relaxed SiGePCl2 crystal. The functional is GGA-PBE.

The magnetic moment is 0.00 μB/f.u. The calculation puts the total energy at -3.61 eV/atom. For the energy relative to the elements, uncorrected, the calculation gives 214 meV per atom. The energy above the most stable polymorph in this dataset comes out at 0.000 eV/atom.

The structure belongs to space group P4/mmm (No. 123); the cell edges are 4.6262, 4.6262 and 4.9119 Å and the angles 90.00°, 90.00° and 90.00°. Symmetry generates all atoms from Si at (0.0000, 0.0000, 0.0000), Ge at (0.5000, 0.5000, 0.5000), P at (0.0000, 0.0000, 0.5000) and Cl at (0.0000, 0.5000, 0.0000).

=====

[3]
This record from Alexandria describes a relaxed SmNb2Ru3 crystal. The functional is GGA-PBE.

The calculation puts the formation energy at -5.8 kcal/mol of atoms. The magnetic moment is 0.00 μB/f.u. The calculation puts the total energy at -9.03 eV/atom.

The structure belongs to space group P4/mmm (No. 123); the cell edges are 3.1768, 3.1768 and 10.5972 Å and the angles 90.00°, 90.00° and 90.00°. Symmetry generates all atoms from Sm at (0.0000, 0.0000, 0.0000), Nb at (0.0000, 0.0000, 0.3423), Ru at (0.5000, 0.5000, 0.2090) and Ru at (0.5000, 0.5000, 0.5000).

=====

[4]
This record from Alexandria describes a relaxed K2CrHg crystal. The functional is GGA-PBE.

The calculation puts the formation energy at 9.6 kcal/mol of atoms. The magnetic moment is 5.01 μB/f.u. The calculation puts the total energy at -2.62 eV/atom.

The structure belongs to space group Imm2 (No. 44); the cell edges are 4.2101, 5.9306 and 12.0068 Å and the angles 90.00°, 90.00° and 90.00°. Symmetry generates all atoms from K at (0.0000, 0.0000, 0.0000), K at (0.0000, 0.5000, 0.2002), Cr at (0.0000, 0.5000, 0.7831) and Hg at (0.0000, 0.0000, 0.4397).

=====

[5]
This record from Alexandria describes a relaxed CaMnC2 crystal. The functional is GGA-PBE.

The calculation puts the formation energy at 12.8 kcal/mol of atoms. The magnetic moment is 1.85 μB/f.u. The calculation puts the total energy at -6.85 eV/atom.

The structure belongs to space group R-3m (No. 166, hexagonal axes); the cell edges are 3.2064, 3.2064 and 15.7203 Å and the angles 90.00°, 90.00° and 120.00°. Symmetry generates all atoms from Ca at (0.0000, 0.0000, 0.0000), Mn at (0.0000, 0.0000, 0.5000) and C at (0.0000, 0.0000, 0.2245).

=====

[6]
This record from Alexandria describes a relaxed Li2SiGe crystal. The functional is GGA-PBE.

The magnetic moment is 0.00 μB/f.u. The calculation puts the total energy at -3.56 eV/atom. For the energy relative to the elements, uncorrected, the calculation gives -92 meV per atom. The energy above the most stable polymorph in this dataset comes out at 0.137 eV/atom.

The structure belongs to space group Fm-3m (No. 225); the cell edges are 6.1998, 6.1998 and 6.1998 Å and the angles 90.00°, 90.00° and 90.00°. Symmetry generates all atoms from Li at (0.2500, 0.2500, 0.2500), Si at (0.0000, 0.0000, 0.0000) and Ge at (0.0000, 0.0000, 0.5000).